(1)
The following is a DFT calculation (GGA-PBEsol) of a geometry-optimized Sc2Ga8Co structure.

Calculated values
Symmetry = P4/mmm (123)
Uncorrected energy = -53.48 eV per formula unit

Lattice parameters (Å, degrees): 4.0566 4.0566 10.6086 90.00 90.00 90.00
Sites, in units of the cell vectors:
Sc (0.0000, 0.0000, 0.1910)
Sc (0.0000, 0.0000, 0.8090)
Ga (0.0000, 0.5000, 0.0000)
Ga (0.0000, 0.5000, 0.3781)
Ga (0.0000, 0.5000, 0.6219)
Ga (0.5000, 0.0000, 0.0000)
Ga (0.5000, 0.0000, 0.3781)
Ga (0.5000, 0.0000, 0.6219)
Ga (0.5000, 0.5000, 0.1928)
Ga (0.5000, 0.5000, 0.8072)
Co (0.0000, 0.0000, 0.5000)

---

(2)
The following is a DFT calculation (GGA-PBEsol) of a geometry-optimized BaNaSn2Br structure.

Calculated values
Symmetry = P4/mmm (123)
Raw formation energy = -4.98 kcal/mol of atoms

Lattice parameters (Å, degrees): 5.8032 5.8032 5.1968 90.00 90.00 90.00
Sites, in units of the cell vectors:
Ba (0.0000, 0.0000, 0.0000)
Na (0.5000, 0.5000, 0.0000)
Sn (0.0000, 0.5000, 0.5000)
Sn (0.5000, 0.0000, 0.5000)
Br (0.5000, 0.5000, 0.5000)

---

(3)
The following is a DFT calculation (GGA-PBEsol) of a geometry-optimized NiSnH12O6F6 structure.

Calculated values
Symmetry = R-3 (148)
Uncorrected energy = -130.41 eV per formula unit

Lattice parameters (Å, degrees): 6.4415 6.4415 6.4415 96.31 96.31 96.31
Sites, in units of the cell vectors:
Ni (0.0000, 0.0000, 0.0000)
Sn (0.5000, 0.5000, 0.5000)
H (0.0531, 0.4007, 0.1781)
H (0.1634, 0.8112, 0.3018)
H (0.1781, 0.0531, 0.4007)
H (0.1888, 0.6982, 0.8366)
H (0.3018, 0.1634, 0.8112)
H (0.4007, 0.1781, 0.0531)
H (0.5993, 0.8218, 0.9469)
H (0.6982, 0.8366, 0.1888)
H (0.8112, 0.3018, 0.1634)
H (0.8219, 0.9469, 0.5993)
H (0.8366, 0.1888, 0.6982)
H (0.9469, 0.5993, 0.8219)
O (0.0583, 0.7039, 0.9038)
O (0.0962, 0.9417, 0.2961)
O (0.2961, 0.0962, 0.9417)
O (0.7039, 0.9038, 0.0583)
O (0.9038, 0.0583, 0.7039)
O (0.9417, 0.2961, 0.0962)
F (0.2463, 0.5716, 0.3309)
F (0.3309, 0.2463, 0.5716)
F (0.4284, 0.6691, 0.7537)
F (0.5716, 0.3309, 0.2463)
F (0.6691, 0.7537, 0.4284)
F (0.7537, 0.4284, 0.6691)

---

(4)
The following is a DFT calculation (GGA-PBEsol) of a geometry-optimized LiMoOs3 structure.

Calculated values
Symmetry = Pm-3m (221)
Uncorrected energy = -45.10 eV per formula unit

Lattice parameters (Å, degrees): 4.0438 4.0438 4.0438 90.00 90.00 90.00
Sites, in units of the cell vectors:
Li (0.0000, 0.0000, 0.0000)
Mo (0.5000, 0.5000, 0.5000)
Os (0.0000, 0.0000, 0.5000)
Os (0.0000, 0.5000, 0.0000)
Os (0.5000, 0.0000, 0.0000)

---

(5)
The following is a DFT calculation (GGA-PBEsol) of a geometry-optimized Mg3ZnCu2 structure.

Calculated values
Symmetry = Cmcm (63)
Uncorrected energy = -15.84 eV per formula unit

Lattice parameters (Å, degrees): 6.2485 6.2485 5.0412 90.00 90.00 90.71
Sites, in units of the cell vectors:
Mg (0.0820, 0.5856, 0.2500)
Mg (0.0938, 0.9062, 0.7500)
Mg (0.4144, 0.9180, 0.2500)
Mg (0.5856, 0.0820, 0.7500)
Mg (0.9062, 0.0938, 0.2500)
Mg (0.9180, 0.4144, 0.7500)
Zn (0.4312, 0.5688, 0.7500)
Zn (0.5688, 0.4312, 0.2500)
Cu (0.2589, 0.2589, 0.0000)
Cu (0.2589, 0.2589, 0.5000)
Cu (0.7411, 0.7411, 0.0000)
Cu (0.7411, 0.7411, 0.5000)

---

(6)
The following is a DFT calculation (GGA-PBEsol) of a geometry-optimized SrNiCl2 structure.

Calculated values
Symmetry = F-43m (216)
ΔE to the lowest computed polymorph = 0.706 eV/atom
Raw formation energy = -11.60 kcal/mol of atoms

Lattice parameters (Å, degrees): 4.8524 4.8524 4.8524 60.00 60.00 60.00
Sites, in units of the cell vectors:
Sr (0.0000, 0.0000, 0.0000)
Ni (0.7500, 0.7500, 0.7500)
Cl (0.2500, 0.2500, 0.2500)
Cl (0.5000, 0.5000, 0.5000)

---

(7)
The following is a DFT calculation (GGA-PBEsol) of a geometry-optimized LiAgPt2 structure.

Calculated values
Symmetry = R-3m (166)
ΔE to the lowest computed polymorph = 0.000 eV/atom

Lattice parameters (Å, degrees): 9.1889 9.1889 9.1889 17.08 17.08 17.08
Sites, in units of the cell vectors:
Li (0.0000, 0.0000, 0.0000)
Ag (0.5000, 0.5000, 0.5000)
Pt (0.2550, 0.2550, 0.2550)
Pt (0.7450, 0.7450, 0.7450)

---

(8)
The following is a DFT calculation (GGA-PBEsol) of a geometry-optimized CdHg2P structure.

Calculated values
Symmetry = I4/mmm (139)
Uncorrected energy = -7.03 eV per formula unit

Lattice parameters (Å, degrees): 5.5910 5.5910 5.5910 136.53 136.53 63.17
Sites, in units of the cell vectors:
Cd (0.0000, 0.0000, 0.0000)
Hg (0.2500, 0.7500, 0.5000)
Hg (0.7500, 0.2500, 0.5000)
P (0.5000, 0.5000, 0.0000)